[1]
A relaxed TiHgBr2 crystal, computed with PBE-GGA.

a = 3.704 Å, b = 3.702 Å, c = 10.745 Å
α = 79.43°, β = 80.07°, γ = 59.98°
Each line ends with the local moment (μB).
Element x y z (fractional)
Br: 0.052 0.048 0.847  0.00
Br: 0.290 0.266 0.154  0.00
Hg: 0.486 0.528 0.500  0.00
Ti: 0.671 0.657 0.000  1.60

**Symmetry**: Cm
**Formation energy without anion corrections**: -0.761 eV/atom
**Energy above the lowest structure with this stoichiometry**: 0 meV/atom
**Raw total energy**: -0.134 hartree per atom

[2]
A relaxed YZrSc crystal, computed with PBE-GGA.

a = 6.085 Å, b = 9.563 Å, c = 6.421 Å
α = 90.00°, β = 122.00°, γ = 90.00°
Element x y z (fractional)
Sc: 0.424 0.022 0.215
Y: 0.518 0.640 0.670
Zr: 0.458 0.289 0.838
Y: 0.482 0.360 0.330
Sc: 0.924 0.478 0.215
Zr: 0.542 0.711 0.162
Sc: 0.576 0.978 0.785
Zr: 0.958 0.211 0.838
Y: 0.982 0.140 0.330
Y: 0.018 0.860 0.670
Zr: 0.042 0.789 0.162
Sc: 0.076 0.522 0.785

**Symmetry**: P2_1/c
**Formation energy from the elements**: 0.080 eV per atom
**Energy above the lowest structure with this stoichiometry**: 24 meV/atom
**Raw total energy**: -0.259 hartree per atom

[3]
A relaxed Sn2BiPd2 crystal, computed with PBE-GGA.

a = 4.297 Å, b = 4.297 Å, c = 6.904 Å
α = 71.87°, β = 71.87°, γ = 90.00°
Element x y z (fractional)
Pd: 0.611 0.611 0.779
Sn: 0.750 0.250 0.500
Pd: 0.389 0.389 0.221
Sn: 0.250 0.750 0.500
Bi: 0.000 0.000 0.000

**Symmetry**: I4/mmm
**Formation energy from the elements**: -0.172 eV per atom
**Energy above the lowest structure with this stoichiometry**: 105 meV/atom
**Raw total energy**: -0.170 hartree per atom

[4]
A relaxed TmInP2 crystal, computed with PBE-GGA.

a = 3.970 Å, b = 3.970 Å, c = 6.737 Å
α = 72.86°, β = 72.86°, γ = 60.00°
Element x y z (fractional)
P: 0.749 0.749 0.754
In: 0.000 0.000 0.000
P: 0.251 0.251 0.246
Tm: 0.500 0.500 0.500

**Symmetry**: R-3m
**Formation energy from the elements**: -0.663 eV per atom
**Raw total energy**: -0.190 hartree per atom

[5]
A relaxed Tm2PuCd6 crystal, computed with PBE-GGA.

a = 3.282 Å, b = 8.724 Å, c = 8.724 Å
α = 60.00°, β = 90.01°, γ = 90.01°
Each line ends with the local moment (μB).
Element x y z (fractional)
Cd: 0.501 0.336 0.000  0.00
Cd: 0.500 0.336 0.664  0.00
Tm: 0.000 0.667 0.667  -0.01
Cd: 0.500 0.664 0.336  0.00
Pu: 0.000 0.000 0.000  5.55
Cd: 0.499 0.000 0.664  0.00
Tm: 0.000 0.333 0.333  -0.01
Cd: 0.501 0.000 0.336  0.00
Cd: 0.499 0.664 0.000  0.00

**Symmetry**: P6/mmm
**Formation energy from the elements**: -0.213 eV per atom
**Raw total energy**: -0.125 hartree per atom

[6]
A relaxed NaTl2SbF6 crystal, computed with PBE-GGA.

a = 6.423 Å, b = 6.393 Å, c = 6.731 Å
α = 121.49°, β = 121.87°, γ = 88.31°
Element x y z (fractional)
Sb: 0.015 0.016 0.015
Na: 0.510 0.511 0.010
F: 0.777 0.749 0.555
Tl: 0.271 0.810 0.532
F: 0.229 0.199 0.921
F: 0.748 0.777 0.970
F: 0.728 0.213 0.937
F: 0.213 0.729 0.004
F: 0.198 0.229 0.506
Tl: 0.809 0.271 0.547

**Symmetry**: C2
**Formation energy without anion corrections**: -2.217 eV/atom
**Raw total energy**: -0.160 hartree per atom